[1]
First-principles (meta-GGA SCAN) data for a PBEsol-optimized structure of Ba4OF6, as listed in the Alexandria database.

Cell: 6.2361 8.6745 8.6745 Å, 90.00 90.00 90.00°
Fractional positions:
F 0.0000 0.7772 0.2228
F 0.0000 0.7772 0.7772
F 0.9670 0.5000 0.0000
F 0.0330 0.0000 0.5000
F 0.5000 0.7228 0.2772
F 0.5000 0.2772 0.2772
F 0.5000 0.7228 0.7228
F 0.4670 0.5000 0.0000
F 0.5000 0.2772 0.7228
F 0.0000 0.2228 0.2228
F 0.0000 0.2228 0.7772
F 0.5330 0.0000 0.5000
Ba 0.7065 0.2541 0.0000
Ba 0.7935 0.2459 0.5000
Ba 0.7935 0.7541 0.5000
Ba 0.7065 0.7459 0.0000
Ba 0.2065 0.5000 0.2459
Ba 0.2935 0.0000 0.2541
Ba 0.2065 0.5000 0.7541
Ba 0.2935 0.0000 0.7459
O 0.0000 0.5000 0.5000
O 0.5000 0.0000 0.0000

Computed properties:
Formation energy without anion corrections (meV/atom): -3821
Relative energy among the computed polymorphs (meV/atom): 0.0
Crystal system: tetragonal

=====

[2]
First-principles (meta-GGA SCAN) data for a PBEsol-optimized structure of In2OsRh, as listed in the Alexandria database.

Cell: 3.4057 3.4057 5.8450 Å, 90.00 90.00 90.00°
Fractional positions:
Rh 0.5000 0.5000 0.7646
In 0.0000 0.0000 0.9690
In 0.5000 0.5000 0.2774
Os 0.0000 0.0000 0.4889

Computed properties:
Relative energy among the computed polymorphs (meV/atom): 266.5
Crystal system: tetragonal

=====

[3]
First-principles (meta-GGA SCAN) data for a PBEsol-optimized structure of K3Sr, as listed in the Alexandria database.

Cell: 7.6618 9.0752 14.8126 Å, 90.00 90.00 90.00°
Fractional positions:
K 0.2501 0.6209 0.9995
K 0.7499 0.3791 0.4995
K 0.9053 0.1261 0.7500
K 0.7499 0.3791 0.0005
K 0.7501 0.8791 0.9995
K 0.2501 0.6209 0.5005
K 0.0947 0.8739 0.2500
K 0.7501 0.8791 0.5005
K 0.2499 0.1209 0.4995
K 0.4053 0.3739 0.7500
K 0.5947 0.6261 0.2500
K 0.2499 0.1209 0.0005
Sr 0.4059 0.8624 0.7500
Sr 0.5941 0.1376 0.2500
Sr 0.9059 0.6376 0.7500
Sr 0.0941 0.3624 0.2500

Computed properties:
Relative energy among the computed polymorphs (meV/atom): 38.6
Crystal system: orthorhombic